i) Below is crystalline Li5MgCd at its relaxed geometry, with properties calculated at the PBE level.

Summary:
Crystal system ... tetragonal
Total moment ... 0.000 μB per formula unit

Cell lengths 4.7059, 4.7059, 6.8435 Å; angles 90.00, 90.00, 90.06 degrees
Last column: nearest neighbours and their distance in Å.
Atoms (fractional coordinates):
Li  0.5000  0.0000  0.2560  2 Cd 2.89, 2 Li 2.89, 2 Mg 2.93
Li  0.0000  0.5000  0.2560  2 Cd 2.89, 2 Li 2.89, 2 Mg 2.93
Li  0.0000  0.0000  0.5000  8 Li 2.89
Li  0.0000  0.5000  0.7440  2 Cd 2.89, 2 Li 2.89, 2 Mg 2.93
Li  0.5000  0.0000  0.7440  2 Cd 2.89, 2 Li 2.89, 2 Mg 2.93
Mg  0.0000  0.0000  0.0000  8 Li 2.93
Cd  0.5000  0.5000  0.5000  8 Li 2.89

ii) Below is crystalline Li5MgCd at its relaxed geometry, with properties calculated at the PBE level.

Summary:
Crystal system ... monoclinic
Total moment ... 0.000 μB per formula unit

Cell lengths 5.5968, 5.5968, 10.2771 Å; angles 80.41, 80.41, 62.67 degrees
Last column: nearest neighbours and their distance in Å.
Atoms (fractional coordinates):
Li  0.6267  0.8775  0.1681  4 Li 2.66-2.94, 1 Cd 2.75, 1 Mg 2.87
Li  0.4168  0.2688  0.5482  6 Li 2.81-3.14, 1 Cd 2.89
Li  0.8775  0.6267  0.6681  4 Li 2.66-2.94, 1 Cd 2.75, 1 Mg 2.87
Li  0.1764  0.8236  0.2500  2 Li 2.66, 2 Cd 2.77, 1 Mg 2.83
Li  0.7312  0.5832  0.9518  6 Li 2.81-3.14, 1 Cd 2.89
Li  0.2688  0.4168  0.0482  6 Li 2.81-3.14, 1 Cd 2.89
Li  0.8236  0.1764  0.7500  2 Li 2.66, 2 Cd 2.77, 1 Mg 2.83
Li  0.1225  0.3733  0.3319  4 Li 2.66-2.94, 1 Cd 2.75, 1 Mg 2.87
Li  0.5832  0.7312  0.4518  6 Li 2.81-3.14, 1 Cd 2.89
Li  0.3733  0.1225  0.8319  4 Li 2.66-2.94, 1 Cd 2.75, 1 Mg 2.87
Mg  0.6902  0.3098  0.2500  6 Li 2.83-3.02, 2 Cd 3.14
Mg  0.3098  0.6902  0.7500  6 Li 2.83-3.02, 2 Cd 3.14
Cd  0.0000  0.0000  0.0000  6 Li 2.75-2.89
Cd  0.0000  0.0000  0.5000  6 Li 2.75-2.89

Last place for stability: i)